Entry 1:
Entry from Alexandria: a relaxed Rb2Na7Tl crystal (GGA-PBE).

Cell lengths 12.5986, 12.5986, 12.5986 Å; angles 90.00, 90.00, 90.00 degrees
With the nearest neighbours (Å) after each atom.
Space group Fm-3m (No. 225)
Inequivalent atoms, fractional coordinates:
Rb1 0.2500 0.2500 0.2500 (multiplicity 8)  12 Na 4.46
Na1 0.0000 0.0000 0.0000 (multiplicity 4)  6 Na 3.26
Na2 0.0000 0.0000 0.2591 (multiplicity 24)  1 Tl 3.04, 1 Na 3.26
Tl1 0.0000 0.0000 0.5000 (multiplicity 4)  6 Na 3.04

Properties
size of the total moment: 0.00 μB/cell
energy of formation from the pure elements: 54 meV/atom
DOS(E_F): 0.354 states/eV per atom

Entry 2:
Entry from Alexandria: a relaxed NdY4 crystal (GGA-PBE).

Cell lengths 5.4892, 16.8802, 3.5522 Å; angles 90.00, 90.00, 90.00 degrees
With the nearest neighbours (Å) after each atom.
Space group Cmmm (No. 65)
Inequivalent atoms, fractional coordinates:
Nd1 0.0000 0.0000 0.0000 (multiplicity 2)  10 Y 3.38-3.76, 2 Nd 3.55
Y1 0.0000 0.2001 0.0000 (multiplicity 4)  8 Y 3.22-3.60, 1 Nd 3.38
Y2 0.0000 0.3898 0.5000 (multiplicity 4)  9 Y 3.55-3.72, 4 Nd 3.76

Properties
size of the total moment: 0.00 μB/cell
energy of formation from the pure elements: 36 meV/atom
DOS(E_F): 1.715 states/eV per atom

- What is the size of the total moment in the first record?
  0.00 μB/cell